Entry from the Alexandria database: crystalline Cd4TcPt at its relaxed geometry (GGA-PBE).

The value obtained for the density is 10.488 Mg/m³. The total magnetization is 3.26 μB per formula unit. The value obtained for the formation energy is 531 meV per atom. As for the total energy: -2.8139 eV/atom.

It has space group F-43m (No. 216), with a = 7.777 Å, b = 7.777 Å, c = 7.777 Å, α = 90.00°, β = 90.00° and γ = 90.00°. The asymmetric unit holds Cd at (0.125, 0.125, 0.125), Tc at (0.000, 0.000, 0.500) and Pt at (0.250, 0.250, 0.750).